Here is crystalline ScMn2Sb at its relaxed geometry from Alexandria. Energies are from PBE-GGA.

Properties
M_tot: 6.3 μB/cell
ΔE_f (raw): 0.129 eV/atom

The structure in CIF format:
```
data_ScMn2Sb
_cell_length_a 5.532
_cell_length_b 5.532
_cell_length_c 3.083
_cell_angle_alpha 75.64
_cell_angle_beta 75.64
_cell_angle_gamma 117.16
_space_group_name_H-M_alt 'P 1'
_space_group_IT_number 1
loop_
_space_group_symop_operation_xyz
'x,y,z'
loop_
_atom_site_label
_atom_site_type_symbol
_atom_site_fract_x
_atom_site_fract_y
_atom_site_fract_z
Mn1 Mn 0.500 0.500 0.000
Mn2 Mn 0.000 0.000 0.000
Sb1 Sb 0.500 0.000 0.500
Sc1 Sc 0.000 0.500 0.500
```